ScCoAsO | PBE with a Hubbard U | relaxed

Space group: No. 26
Raw total energy, eV per atom: -6.511

Cell and atoms, written as POSCAR:
```
ScCoAsO
1.0
3.6749 0.0000 0.0000
0.0000 5.9098 0.0000
0.0000 0.0000 6.1911
As Co O Sc
2 2 2 2
direct
0.0000 0.2362 0.3414 As
0.0000 0.7638 0.8414 As
0.0000 0.6380 0.4410 Co
0.0000 0.3620 0.9410 Co
0.5000 0.7616 0.3652 O
0.5000 0.2384 0.8652 O
0.5000 0.9770 0.1065 Sc
0.5000 0.0230 0.6065 Sc
```